Record 1
Compound: CaPSe2
Source: the Alexandria database
Functional: PBE
Structure: optimized geometry

Results
Its uncorrected formation energy is -0.820 eV per atom. As for the symmetry: Pm.

Cell: 4.2691 4.3136 5.8170 Å, 90.00 109.33 90.00°
Last column: nearest neighbours and their distance in Å.
Sites, in units of the cell vectors:
1 Ca 0.0000 0.0000 0.0000  6 Se 3.00-3.10, 2 P 3.18
2 P 0.5065 0.5000 0.3212  3 Se 2.33-2.44
3 Se 0.4700 0.5000 0.9119  1 P 2.33
4 Se 0.7802 0.0000 0.4391  2 P 2.44

---

Record 2
Compound: LiPaCl4
Source: the Alexandria database
Functional: PBE
Structure: optimized geometry

Results
The relative energy among the computed polymorphs is 107 meV/atom. Its uncorrected formation energy is -1.567 eV per atom. As for the symmetry: I-4.

Cell: 7.2223 7.2223 7.2223 Å, 127.59 127.59 77.29°
Last column: nearest neighbours and their distance in Å.
Sites, in units of the cell vectors:
1 Li 0.0000 0.0000 0.0000  4 Cl 2.40
2 Pa 0.7500 0.2500 0.5000  4 Cl 2.63
3 Cl 0.0906 0.6507 0.9794  1 Li 2.40, 1 Pa 2.63
4 Cl 0.3493 0.3287 0.4399  1 Li 2.40, 1 Pa 2.63
5 Cl 0.6713 0.1112 0.0206  1 Li 2.40, 1 Pa 2.63
6 Cl 0.8888 0.9094 0.5601  1 Li 2.40, 1 Pa 2.63

---

Record 3
Compound: CdSbSe2
Source: the Alexandria database
Functional: PBE
Structure: optimized geometry

Results
The relative energy among the computed polymorphs is 0 meV/atom. Its uncorrected formation energy is -0.268 eV per atom. As for the symmetry: P4mm.

Cell: 4.2053 4.2053 5.7996 Å, 90.00 90.00 90.00°
Last column: nearest neighbours and their distance in Å.
Sites, in units of the cell vectors:
1 Cd 0.0000 0.0000 0.0000  6 Se 2.86-2.98
2 Sb 0.5000 0.5000 0.5056  5 Se 2.71-2.97
3 Se 0.0000 0.0000 0.4932  2 Cd 2.86-2.94, 4 Sb 2.97
4 Se 0.5000 0.5000 0.9735  1 Sb 2.71, 4 Cd 2.98

---

Record 4
Compound: TbSn2Hg
Source: the Alexandria database
Functional: PBE
Structure: optimized geometry

Results
For the calculated formation energy, the calculation gives 0.146 eV/atom. The relative energy among the computed polymorphs is 595 meV/atom. As for the symmetry: R-3m.

Cell: 8.2425 8.2425 8.2425 Å, 36.19 36.19 36.19°
Last column: nearest neighbours and their distance in Å.
Sites, in units of the cell vectors:
1 Tb 0.0000 0.0000 0.0000  6 Sn 3.11
2 Sn 0.3757 0.3757 0.3757  1 Hg 2.87, 3 Tb 3.11
3 Sn 0.6243 0.6243 0.6243  1 Hg 2.87, 3 Tb 3.11
4 Hg 0.5000 0.5000 0.5000  2 Sn 2.87

---

Record 5
Compound: Tb9Sm2Ho3
Source: the Alexandria database
Functional: PBE
Structure: optimized geometry

Results
For the calculated formation energy, the calculation gives 0.310 eV/atom. As for the symmetry: Immm.

Cell: 10.2900 10.2900 10.2900 Å, 149.87 120.23 68.39°
Last column: nearest neighbours and their distance in Å.
Sites, in units of the cell vectors:
1 Tb 0.0000 0.0000 0.0000  4 Tb 3.53, 4 Sm 3.79
2 Tb 0.0434 0.6949 0.3485  4 Tb 3.11-3.19
3 Tb 0.1504 0.8754 0.2750  1 Ho 3.13, 3 Tb 3.16-3.19, 2 Sm 3.42
4 Tb 0.3464 0.6949 0.6515  4 Tb 3.11-3.19
5 Tb 0.3995 0.1246 0.2750  1 Ho 3.13, 3 Tb 3.16-3.19, 2 Sm 3.42
6 Tb 0.6005 0.8754 0.7250  1 Ho 3.13, 3 Tb 3.16-3.19, 2 Sm 3.42
7 Tb 0.6536 0.3051 0.3485  4 Tb 3.11-3.19
8 Tb 0.8496 0.1246 0.7250  1 Ho 3.13, 3 Tb 3.16-3.19, 2 Sm 3.42
9 Tb 0.9566 0.3051 0.6515  4 Tb 3.11-3.19
10 Sm 0.2625 0.5000 0.7625  8 Tb 3.42-3.79, 2 Ho 3.62
11 Sm 0.7375 0.5000 0.2375  8 Tb 3.42-3.79, 2 Ho 3.62
12 Ho 0.3258 0.3258 0.0000  10 Tb 3.59-3.81, 2 Sm 3.84, 2 Ho 3.99
13 Ho 0.5000 0.0000 0.5000  4 Tb 3.13
14 Ho 0.6742 0.6742 0.0000  10 Tb 3.59-3.81, 2 Sm 3.84, 2 Ho 3.99

---

Record 6
Compound: BaSiP2Pb
Source: the Alexandria database
Functional: PBE
Structure: optimized geometry

Results
Its uncorrected formation energy is 0.119 eV per atom. As for the symmetry: P4/mmm.

Cell: 4.9339 4.9339 5.2778 Å, 90.00 90.00 90.00°
Last column: nearest neighbours and their distance in Å.
Sites, in units of the cell vectors:
1 Ba 0.0000 0.0000 0.0000  4 Pb 3.49, 8 P 3.61
2 Si 0.5000 0.5000 0.5000  4 P 2.47, 2 Pb 2.64
3 P 0.0000 0.5000 0.5000  2 Si 2.47
4 P 0.5000 0.0000 0.5000  2 Si 2.47
5 Pb 0.5000 0.5000 0.0000  2 Si 2.64

---

Record 7
Compound: Tb11Tm9Sc4
Source: the Alexandria database
Functional: PBE
Structure: optimized geometry

Results
For the calculated formation energy, the calculation gives 0.044 eV/atom. As for the symmetry: Cmmm.

Cell: 14.9270 14.9270 3.5396 Å, 90.00 90.00 113.10°
Last column: nearest neighbours and their distance in Å.
Sites, in units of the cell vectors:
1 Tb 0.0000 0.0000 0.0000  8 Tm 3.47, 2 Tb 3.54
2 Tb 0.0456 0.4066 0.0000  2 Sc 3.27, 6 Tm 3.48-3.56, 3 Tb 3.54-3.55
3 Tb 0.1597 0.8403 0.0000  4 Tb 3.54-3.76, 8 Tm 3.66-3.69
4 Tb 0.2975 0.2975 0.0000  4 Sc 3.19, 2 Tb 3.54, 4 Tm 3.56
5 Tb 0.3702 0.6298 0.0000  4 Sc 3.20, 4 Tm 3.51, 2 Tb 3.54
6 Tb 0.4066 0.0456 0.0000  2 Sc 3.27, 6 Tm 3.48-3.56, 3 Tb 3.54-3.55
7 Tb 0.5934 0.9544 0.0000  2 Sc 3.27, 6 Tm 3.48-3.56, 3 Tb 3.54-3.55
8 Tb 0.6298 0.3702 0.0000  4 Sc 3.20, 4 Tm 3.51, 2 Tb 3.54
9 Tb 0.7025 0.7025 0.0000  4 Sc 3.19, 2 Tb 3.54, 4 Tm 3.56
10 Tb 0.8403 0.1597 0.0000  4 Tb 3.54-3.76, 8 Tm 3.66-3.69
11 Tb 0.9544 0.5934 0.0000  2 Sc 3.27, 6 Tm 3.48-3.56, 3 Tb 3.54-3.55
12 Tm 0.0731 0.2173 0.5000  1 Sc 3.35, 8 Tb 3.47-3.69, 3 Tm 3.54-3.59
13 Tm 0.1665 0.6287 0.5000  1 Sc 3.34, 3 Tm 3.37-3.54, 8 Tb 3.48-3.66
14 Tm 0.2173 0.0731 0.5000  1 Sc 3.35, 8 Tb 3.47-3.69, 3 Tm 3.54-3.59
15 Tm 0.3713 0.8335 0.5000  1 Sc 3.34, 3 Tm 3.37-3.54, 8 Tb 3.48-3.66
16 Tm 0.5000 0.5000 0.5000  2 Tm 3.54, 4 Sc 3.61, 8 Tb 3.69-3.77
17 Tm 0.6287 0.1665 0.5000  1 Sc 3.34, 3 Tm 3.37-3.54, 8 Tb 3.48-3.66
18 Tm 0.7827 0.9269 0.5000  1 Sc 3.35, 8 Tb 3.47-3.69, 3 Tm 3.54-3.59
19 Tm 0.8335 0.3713 0.5000  1 Sc 3.34, 3 Tm 3.37-3.54, 8 Tb 3.48-3.66
20 Tm 0.9269 0.7827 0.5000  1 Sc 3.35, 8 Tb 3.47-3.69, 3 Tm 3.54-3.59
21 Sc 0.2419 0.4457 0.5000  6 Tb 3.19-3.27, 2 Tm 3.34-3.35, 2 Sc 3.54
22 Sc 0.4457 0.2419 0.5000  6 Tb 3.19-3.27, 2 Tm 3.34-3.35, 2 Sc 3.54
23 Sc 0.5543 0.7581 0.5000  6 Tb 3.19-3.27, 2 Tm 3.34-3.35, 2 Sc 3.54
24 Sc 0.7581 0.5543 0.5000  6 Tb 3.19-3.27, 2 Tm 3.34-3.35, 2 Sc 3.54

---

Record 8
Compound: Tb12MgRu6
Source: the Alexandria database
Functional: PBE
Structure: optimized geometry

Results
For the calculated formation energy, the calculation gives -0.164 eV/atom. The relative energy among the computed polymorphs is 74 meV/atom. As for the symmetry: R-3.

Cell: 8.5948 8.5948 8.5948 Å, 108.68 108.68 108.68°
Last column: nearest neighbours and their distance in Å.
Sites, in units of the cell vectors:
1 Tb 0.0490 0.3527 0.1065  3 Ru 2.75-2.82
2 Tb 0.1065 0.0490 0.3527  3 Ru 2.75-2.82
3 Tb 0.1621 0.4636 0.6481  3 Ru 2.79-2.81
4 Tb 0.3519 0.8379 0.5364  3 Ru 2.79-2.81
5 Tb 0.3527 0.1065 0.0490  3 Ru 2.75-2.82
6 Tb 0.4636 0.6481 0.1621  3 Ru 2.79-2.81
7 Tb 0.5364 0.3519 0.8379  3 Ru 2.79-2.81
8 Tb 0.6473 0.8935 0.9510  3 Ru 2.75-2.82
9 Tb 0.6481 0.1621 0.4636  3 Ru 2.79-2.81
10 Tb 0.8379 0.5364 0.3519  3 Ru 2.79-2.81
11 Tb 0.8935 0.9510 0.6473  3 Ru 2.75-2.82
12 Tb 0.9510 0.6473 0.8935  3 Ru 2.75-2.82
13 Mg 0.5000 0.5000 0.5000  12 Tb 3.49-3.71
14 Ru 0.1288 0.7877 0.7130  6 Tb 2.75-2.82
15 Ru 0.2123 0.2870 0.8712  6 Tb 2.75-2.82
16 Ru 0.2870 0.8712 0.2123  6 Tb 2.75-2.82
17 Ru 0.7130 0.1288 0.7877  6 Tb 2.75-2.82
18 Ru 0.7877 0.7130 0.1288  6 Tb 2.75-2.82
19 Ru 0.8712 0.2123 0.2870  6 Tb 2.75-2.82